## Tl2AgPb (PBE)

Data for a geometry-optimized Tl2AgPb structure.

Cell lengths 5.6997, 5.6997, 3.5102 Å; angles 90.00, 90.00, 105.88 degrees
Closest atoms and distances in Å follow each position.
Sites, in units of the cell vectors:
Tl  0.0000  0.5000  0.0000  4 Pb 3.35, 4 Ag 3.35, 4 Tl 3.43-3.51
Tl  0.5000  0.0000  0.0000  4 Pb 3.35, 4 Ag 3.35, 4 Tl 3.43-3.51
Ag  0.0000  0.0000  0.5000  8 Tl 3.35, 2 Pb 3.43, 2 Ag 3.51
Pb  0.5000  0.5000  0.5000  8 Tl 3.35, 2 Ag 3.43, 2 Pb 3.51

Properties
Energy of formation from the pure elements, kJ/mol of formula units: 46.3
Magnetization, Bohr magnetons per cell: 0.00
Crystal system: orthorhombic
SG: Cmmm, No. 65
N(E_F), states/eV/atom: 0.373